Record 1
Density functional theory data (GGA-PBE) for an optimized crystal structure of HoEr2Rh2.

```
10
Lattice="1.883 -13.059 0.000 1.883 13.059 0.000 0.000 0.000 4.590" Properties=species:S:1:pos:R:3 pbc="T T T"
Ho 1.883 9.469 3.442
Ho 1.883 -9.469 1.147
Er 1.883 6.909 1.147
Er 1.883 1.357 3.442
Er 1.883 -1.357 1.147
Er 1.883 -6.909 3.442
Rh 1.883 12.194 3.442
Rh 1.883 4.205 3.442
Rh 1.883 -4.205 1.147
Rh 1.883 -12.194 1.147
```

Energy relative to the lowest polymorph listed for this composition, eV per formula unit: 0.06

=====

Record 2
Density functional theory data (GGA-PBE) for an optimized crystal structure of HoEr2Rh3.

```
6
Lattice="3.402 0.000 0.000 0.000 3.402 0.000 0.000 0.000 10.188" Properties=species:S:1:pos:R:3 pbc="T T T"
Ho 0.000 0.000 0.000
Er 0.000 0.000 3.400
Er 0.000 0.000 6.788
Rh 1.701 1.701 1.710
Rh 1.701 1.701 5.094
Rh 1.701 1.701 8.478
```

VASP energy, Ry/atom: -0.506

=====

Record 3
Density functional theory data (GGA-PBE) for an optimized crystal structure of HoEr3Rh2.

```
12
Lattice="-3.324 6.733 3.507 3.324 -6.733 3.507 3.324 6.733 -3.507" Properties=species:S:1:pos:R:3 pbc="T T T"
Ho 0.000 0.000 0.000
Ho 0.000 0.000 3.507
Er 3.324 3.611 -1.753
Er 3.324 0.000 1.753
Er 0.000 3.122 1.753
Er 3.324 3.611 1.753
Er 0.000 6.733 1.753
Er 0.000 3.122 5.260
Rh 4.727 1.863 0.000
Rh 1.403 4.869 0.000
Rh 1.921 1.863 3.507
Rh -1.403 4.869 3.507
```

Energy relative to the lowest polymorph listed for this composition, eV per formula unit: 0.53

=====

Record 4
Density functional theory data (GGA-PBE) for an optimized crystal structure of Ho4ErRh5.

```
10
Lattice="3.372 0.000 0.000 0.000 3.372 0.000 0.000 0.000 17.379" Properties=species:S:1:pos:R:3 pbc="T T T"
Ho 0.000 0.000 1.741
Ho 0.000 0.000 5.222
Ho 0.000 0.000 12.157
Ho 0.000 0.000 15.638
Er 0.000 0.000 8.690
Rh 1.686 1.686 0.000
Rh 1.686 1.686 3.482
Rh 1.686 1.686 6.967
Rh 1.686 1.686 10.412
Rh 1.686 1.686 13.897
```

VASP energy, Ry/atom: -0.505

=====

Record 5
Density functional theory data (GGA-PBE) for an optimized crystal structure of HoErRh.

```
12
Lattice="6.754 0.000 0.000 0.000 6.754 0.000 0.000 0.000 6.754" Properties=species:S:1:pos:R:3 pbc="T T T"
Ho 0.000 0.000 0.000
Ho 0.000 3.377 3.377
Ho 3.377 0.000 3.377
Ho 3.377 3.377 0.000
Er 0.000 0.000 3.377
Er 0.000 3.377 0.000
Er 3.377 0.000 0.000
Er 3.377 3.377 3.377
Rh 1.688 1.688 5.065
Rh 1.688 5.065 1.688
Rh 5.065 1.688 1.688
Rh 5.065 5.065 5.065
```

Energy relative to the lowest polymorph listed for this composition, eV per formula unit: 0.20

=====

Record 6
Density functional theory data (GGA-PBE) for an optimized crystal structure of HoEr2Rh.

```
16
Lattice="3.789 0.000 0.000 0.000 11.825 0.000 0.000 0.000 9.272" Properties=species:S:1:pos:R:3 pbc="T T T"
Ho 0.000 0.882 2.318
Ho 0.000 10.943 6.954
Ho 1.895 5.030 6.954
Ho 1.895 6.794 2.318
Er 0.000 4.270 0.619
Er 0.000 4.270 4.017
Er 0.000 7.555 5.255
Er 0.000 7.555 8.653
Er 1.895 1.642 5.255
Er 1.895 1.642 8.653
Er 1.895 10.182 0.619
Er 1.895 10.182 4.017
Rh 0.000 2.908 6.954
Rh 0.000 8.917 2.318
Rh 1.895 3.004 2.318
Rh 1.895 8.820 6.954
```

Energy relative to the lowest polymorph listed for this composition, eV per formula unit: 0.13

=====

Record 7
Density functional theory data (GGA-PBE) for an optimized crystal structure of Ho4ErRh2.

```
14
Lattice="6.532 0.000 0.000 -0.019 7.100 0.000 -3.132 -2.935 7.742" Properties=species:S:1:pos:R:3 pbc="T T T"
Ho 0.000 0.000 0.000
Ho -0.022 3.568 0.046
Ho -0.460 3.292 3.522
Ho 0.545 -0.248 3.469
Ho 0.140 -0.502 6.956
Ho 2.620 2.265 4.856
Ho 3.984 0.773 2.147
Ho 4.044 -1.240 4.834
Er 0.077 3.055 6.997
Er 2.587 4.286 2.179
Rh -1.358 1.226 5.365
Rh 1.456 1.835 1.634
Rh 1.504 4.741 5.280
Rh 5.081 5.404 1.702
```

Energy relative to the lowest polymorph listed for this composition, eV per formula unit: 0.00

=====

Record 8
Density functional theory data (GGA-PBE) for an optimized crystal structure of HoEr3Rh8.

```
12
Lattice="2.659 1.535 8.679 -2.659 1.535 8.679 0.000 -3.071 8.679" Properties=species:S:1:pos:R:3 pbc="T T T"
Ho 0.000 0.000 0.000
Er 0.000 0.000 3.262
Er 0.000 0.000 13.016
Er 0.000 0.000 16.276
Rh 0.000 -1.535 5.967
Rh -1.329 0.767 5.967
Rh -1.329 -0.768 10.311
Rh 0.000 0.000 8.138
Rh 1.329 0.767 5.967
Rh 1.329 -0.768 10.311
Rh 0.000 1.535 10.311
Rh 0.000 0.000 21.157
```

Energy relative to the lowest polymorph listed for this composition, eV per formula unit: 0.00

=====

Copy entry 5 word for word.
Density functional theory data (GGA-PBE) for an optimized crystal structure of HoErRh.

```
12
Lattice="6.754 0.000 0.000 0.000 6.754 0.000 0.000 0.000 6.754" Properties=species:S:1:pos:R:3 pbc="T T T"
Ho 0.000 0.000 0.000
Ho 0.000 3.377 3.377
Ho 3.377 0.000 3.377
Ho 3.377 3.377 0.000
Er 0.000 0.000 3.377
Er 0.000 3.377 0.000
Er 3.377 0.000 0.000
Er 3.377 3.377 3.377
Rh 1.688 1.688 5.065
Rh 1.688 5.065 1.688
Rh 5.065 1.688 1.688
Rh 5.065 5.065 5.065
```

Energy relative to the lowest polymorph listed for this composition, eV per formula unit: 0.20